Pm2Al4Zn3Pt after structural relaxation, computed with PBE.

Cell: 4.223 4.223 10.745 Å, 90.00 90.00 90.00°
Space group P-4m2 (No. 115)
Inequivalent atoms, fractional coordinates:
Pm 0.000 0.500 0.249 [2 per cell]
Al 0.000 0.000 0.500 [1 per cell]
Al 0.000 0.500 0.871 [2 per cell]
Al 0.500 0.500 0.500 [1 per cell]
Zn 0.000 0.000 0.000 [1 per cell]
Zn 0.000 0.500 0.639 [2 per cell]
Pt 0.500 0.500 0.000 [1 per cell]

Formation energy, meV per atom: -573.5
DOS(E_F), states/eV/f.u.: 5.49
Magnetization, μB per cell: 0.000
Volume, Å³/atom: 19.2